The following is a PBE+U calculation of a geometry-optimized Na3Co2TcO6 structure, from Alexandria.

Properties
**DOS at the Fermi energy**: 3.24 states/eV/f.u.
**Electronic total energy**: -5.796 eV per atom
**Calculated volume**: 128 Å³/cell

Unit cell a=5.2275 b=5.2275 c=5.6583 alpha=99.77 beta=99.77 gamma=118.46
Last column: nearest neighbours and their distance in Å.
Element x y z (fractional)
Na  0.0000  0.0000  0.0000  6 O 2.37-2.44
Na  0.3295  0.6705  0.0000  6 O 2.35-2.39
Na  0.6705  0.3295  0.0000  6 O 2.35-2.39
Co  0.1654  0.8346  0.5000  6 O 2.02-2.16
Co  0.8346  0.1654  0.5000  6 O 2.02-2.16
Tc  0.5000  0.5000  0.5000  6 O 2.01-2.08
O  0.1117  0.4441  0.2973  1 Tc 2.01, 2 Co 2.03-2.16
O  0.2342  0.2342  0.6966  2 Co 2.02, 1 Tc 2.08
O  0.4441  0.1117  0.2973  1 Tc 2.01, 2 Co 2.03-2.16
O  0.5559  0.8883  0.7027  1 Tc 2.01, 2 Co 2.03-2.16
O  0.7658  0.7658  0.3034  2 Co 2.02, 1 Tc 2.08
O  0.8883  0.5559  0.7027  1 Tc 2.01, 2 Co 2.03-2.16